Entry from Alexandria via LeMat-Bulk: crystalline Be2FeTcB at its relaxed geometry (PBEsol).

Cell and atoms, written as POSCAR:
```
Be2FeTcB
1.0
3.724 0.000 0.000
0.000 3.724 0.000
0.000 0.000 4.320
Be Fe Tc B
2 1 1 1
direct
0.000 0.500 0.000 Be
0.500 0.000 0.000 Be
0.000 0.000 0.000 Fe
0.000 0.000 0.500 Tc
0.500 0.500 0.500 B
```

Computed properties:
As for the formation enthalpy at 0 K: 1.41 eV per atom. Its space group is P4/mmm.

***

Entry from Alexandria via LeMat-Bulk: crystalline Na9Cu2O7 at its relaxed geometry (PBEsol).

Cell and atoms, written as POSCAR:
```
Na9Cu2O7
1.0
9.777 0.000 0.000
0.000 9.777 0.000
0.000 0.000 9.777
Na Cu O
36 8 28
direct
0.007 0.292 0.834 Na
0.040 0.784 0.173 Na
0.068 0.068 0.068 Na
0.105 0.605 0.895 Na
0.166 0.507 0.208 Na
0.173 0.040 0.784 Na
0.208 0.166 0.507 Na
0.216 0.673 0.460 Na
0.232 0.232 0.232 Na
0.268 0.768 0.732 Na
0.284 0.327 0.960 Na
0.292 0.834 0.007 Na
0.327 0.960 0.284 Na
0.334 0.493 0.708 Na
0.395 0.395 0.395 Na
0.432 0.932 0.568 Na
0.460 0.216 0.673 Na
0.493 0.708 0.334 Na
0.507 0.208 0.166 Na
0.540 0.716 0.827 Na
0.568 0.432 0.932 Na
0.605 0.895 0.105 Na
0.666 0.993 0.792 Na
0.673 0.460 0.216 Na
0.708 0.334 0.493 Na
0.716 0.827 0.540 Na
0.732 0.268 0.768 Na
0.768 0.732 0.268 Na
0.784 0.173 0.040 Na
0.792 0.666 0.993 Na
0.827 0.540 0.716 Na
0.834 0.007 0.292 Na
0.895 0.105 0.605 Na
0.932 0.568 0.432 Na
0.960 0.284 0.327 Na
0.993 0.792 0.666 Na
0.066 0.934 0.434 Cu
0.098 0.402 0.598 Cu
0.402 0.598 0.098 Cu
0.434 0.066 0.934 Cu
0.566 0.566 0.566 Cu
0.598 0.098 0.402 Cu
0.902 0.902 0.902 Cu
0.934 0.434 0.066 Cu
0.072 0.074 0.311 O
0.074 0.311 0.072 O
0.086 0.840 0.903 O
0.097 0.586 0.660 O
0.160 0.403 0.414 O
0.189 0.928 0.574 O
0.218 0.282 0.718 O
0.282 0.718 0.218 O
0.311 0.072 0.074 O
0.340 0.597 0.914 O
0.403 0.414 0.160 O
0.414 0.160 0.403 O
0.426 0.689 0.572 O
0.428 0.926 0.811 O
0.572 0.426 0.689 O
0.574 0.189 0.928 O
0.586 0.660 0.097 O
0.597 0.914 0.340 O
0.660 0.097 0.586 O
0.689 0.572 0.426 O
0.718 0.218 0.282 O
0.782 0.782 0.782 O
0.811 0.428 0.926 O
0.840 0.903 0.086 O
0.903 0.086 0.840 O
0.914 0.340 0.597 O
0.926 0.811 0.428 O
0.928 0.574 0.189 O
```

Computed properties:
For the relative energy among the computed polymorphs, the calculation gives 7.9 meV per atom. Its space group is P2_13. As for the formation energy without anion corrections: -1.0693 eV/atom.

***

Entry from Alexandria via LeMat-Bulk: crystalline Na2Al2Rh at its relaxed geometry (PBEsol).

Cell and atoms, written as POSCAR:
```
Na2Al2Rh
1.0
-1.708 1.708 7.736
1.708 -1.708 7.736
1.708 1.708 -7.736
Na Al Rh
2 2 1
direct
0.250 0.750 0.500 Na
0.750 0.250 0.500 Na
0.083 0.083 0.000 Al
0.917 0.917 0.000 Al
0.500 0.500 0.000 Rh
```

Computed properties:
For the relative energy among the computed polymorphs, the calculation gives 290.0 meV per atom. As for the formation enthalpy at 0 K: 0.28 eV per atom. Its space group is I4/mmm.

***

Entry from Alexandria via LeMat-Bulk: crystalline YCoIr2 at its relaxed geometry (PBEsol).

Cell and atoms, written as POSCAR:
```
YCoIr2
1.0
2.801 -3.744 0.000
2.801 3.744 0.000
0.000 0.000 2.927
Y Co Ir
1 1 2
direct
0.000 0.000 0.000 Y
0.500 0.500 0.000 Co
0.000 0.500 0.500 Ir
0.500 0.000 0.500 Ir
```

Computed properties:
For the relative energy among the computed polymorphs, the calculation gives 42.5 meV per atom. As for the formation enthalpy at 0 K: -0.03 eV per atom. Its space group is Cmmm.

***

Entry from Alexandria via LeMat-Bulk: crystalline KFe3 at its relaxed geometry (PBEsol).

Cell and atoms, written as POSCAR:
```
KFe3
1.0
4.810 0.000 0.000
0.000 4.810 0.000
0.000 0.000 2.552
K Fe
1 3
direct
0.000 0.000 0.000 K
0.000 0.500 0.500 Fe
0.500 0.000 0.500 Fe
0.500 0.500 0.000 Fe
```

Computed properties:
As for the formation enthalpy at 0 K: 1.38 eV per atom. Its space group is P4/mmm.

***

Entry from Alexandria via LeMat-Bulk: crystalline YCuH2 at its relaxed geometry (PBEsol).

Cell and atoms, written as POSCAR:
```
YCuH2
1.0
-2.087 2.087 5.177
2.087 -2.087 5.177
2.087 2.087 -5.177
Y Cu H
2 2 4
direct
0.000 0.000 0.000 Y
0.750 0.250 0.500 Y
0.250 0.750 0.500 Cu
0.500 0.500 0.000 Cu
0.252 0.625 0.127 H
0.375 0.502 0.627 H
0.498 0.125 0.873 H
0.875 0.748 0.373 H
```

Computed properties:
Its space group is I-42d.

***

Entry from Alexandria via LeMat-Bulk: crystalline BeZnFe2 at its relaxed geometry (PBEsol).

Cell and atoms, written as POSCAR:
```
BeZnFe2
1.0
1.234 0.713 7.983
-1.234 0.713 7.983
0.000 -1.425 7.983
Be Zn Fe
1 1 2
direct
0.000 0.000 0.000 Be
0.500 0.500 0.500 Zn
0.256 0.256 0.256 Fe
0.744 0.744 0.744 Fe
```

Computed properties:
For the relative energy among the computed polymorphs, the calculation gives 125.0 meV per atom. As for the formation enthalpy at 0 K: 0.06 eV per atom. Its space group is R-3m.

***

Entry from Alexandria via LeMat-Bulk: crystalline YTeOs2 at its relaxed geometry (PBEsol).

Cell and atoms, written as POSCAR:
```
YTeOs2
1.0
3.342 0.000 0.000
0.000 3.342 0.000
0.000 0.000 6.547
Y Te Os
1 1 2
direct
0.000 0.000 0.000 Y
0.000 0.000 0.500 Te
0.500 0.500 0.264 Os
0.500 0.500 0.736 Os
```

Computed properties:
Its space group is P4/mmm. As for the formation energy without anion corrections: 0.3407 eV/atom.

***

Entry from Alexandria via LeMat-Bulk: crystalline Sr2AsW at its relaxed geometry (PBEsol).

Cell and atoms, written as POSCAR:
```
Sr2AsW
1.0
0.000 3.604 3.604
3.604 0.000 3.604
3.604 3.604 0.000
Sr As W
2 1 1
direct
0.000 0.000 0.000 Sr
0.250 0.250 0.250 Sr
0.750 0.750 0.750 As
0.500 0.500 0.500 W
```

Computed properties:
As for the formation enthalpy at 0 K: 0.80 eV per atom. Its space group is F-43m.

***

Entry from Alexandria via LeMat-Bulk: crystalline KZn3Fe at its relaxed geometry (PBEsol).

Cell and atoms, written as POSCAR:
```
KZn3Fe
1.0
5.524 0.000 0.000
0.000 5.524 0.000
0.000 0.000 5.524
K Zn Fe
1 3 1
direct
0.000 0.000 0.000 K
0.000 0.000 0.500 Zn
0.000 0.500 0.000 Zn
0.500 0.000 0.000 Zn
0.500 0.500 0.500 Fe
```

Computed properties:
As for the formation enthalpy at 0 K: 1.76 eV per atom. Its space group is Pm-3m.

***

Entry from Alexandria via LeMat-Bulk: crystalline Fe3Ir at its relaxed geometry (PBEsol).

Cell and atoms, written as POSCAR:
```
Fe3Ir
1.0
2.577 0.000 0.000
0.000 4.047 0.000
-0.854 0.000 4.682
Fe Ir
3 1
direct
0.000 0.000 0.000 Fe
0.228 0.500 0.758 Fe
0.772 0.500 0.242 Fe
0.500 0.000 0.500 Ir
```

Computed properties:
As for the formation enthalpy at 0 K: 0.07 eV per atom. Its space group is P2/m.

***

Entry from Alexandria via LeMat-Bulk: crystalline CsInI4 at its relaxed geometry (PBEsol).

Cell and atoms, written as POSCAR:
```
CsInI4
1.0
7.286 0.000 0.000
0.000 18.486 0.000
-2.310 0.000 8.077
Cs In I
4 4 16
direct
0.184 0.130 0.292 Cs
0.184 0.370 0.792 Cs
0.816 0.630 0.208 Cs
0.816 0.870 0.708 Cs
0.192 0.627 0.797 In
0.192 0.873 0.297 In
0.808 0.127 0.703 In
0.808 0.373 0.203 In
0.191 0.157 0.795 I
0.191 0.343 0.295 I
0.278 0.548 0.083 I
0.278 0.952 0.583 I
0.279 0.547 0.556 I
0.279 0.953 0.056 I
0.373 0.743 0.364 I
0.373 0.757 0.864 I
0.627 0.243 0.136 I
0.627 0.257 0.636 I
0.721 0.047 0.944 I
0.721 0.453 0.444 I
0.722 0.048 0.417 I
0.722 0.452 0.917 I
0.809 0.657 0.705 I
0.809 0.843 0.205 I
```

Computed properties:
Its space group is P2_1/c. As for the formation energy without anion corrections: -0.8667 eV/atom.

***

Entry from Alexandria via LeMat-Bulk: crystalline ZrCdTc2 at its relaxed geometry (PBEsol).

Cell and atoms, written as POSCAR:
```
ZrCdTc2
1.0
-1.638 2.246 4.583
1.638 -2.246 4.583
1.638 2.246 -4.583
Zr Cd Tc
1 1 2
direct
0.000 0.000 0.000 Zr
0.276 0.776 0.500 Cd
0.537 0.537 0.000 Tc
0.750 0.250 0.500 Tc
```

Computed properties:
As for the formation enthalpy at 0 K: 0.08 eV per atom. Its space group is Imm2.

***

Entry from Alexandria via LeMat-Bulk: crystalline Mg2TlGa2 at its relaxed geometry (PBEsol).

Cell and atoms, written as POSCAR:
```
Mg2TlGa2
1.0
-2.163 2.163 5.957
2.163 -2.163 5.957
2.163 2.163 -5.957
Mg Tl Ga
2 1 2
direct
0.250 0.750 0.500 Mg
0.750 0.250 0.500 Mg
0.000 0.000 0.000 Tl
0.398 0.398 0.000 Ga
0.602 0.602 0.000 Ga
```

Computed properties:
For the relative energy among the computed polymorphs, the calculation gives 92.8 meV per atom. As for the formation enthalpy at 0 K: 0.01 eV per atom. Its space group is I4/mmm.

***

Entry from Alexandria via LeMat-Bulk: crystalline ScTlIr3 at its relaxed geometry (PBEsol).

Cell and atoms, written as POSCAR:
```
ScTlIr3
1.0
4.663 0.000 0.000
0.000 4.663 0.000
0.000 0.000 4.663
Sc Tl Ir
1 1 3
direct
0.000 0.000 0.000 Sc
0.500 0.500 0.500 Tl
0.000 0.000 0.500 Ir
0.000 0.500 0.000 Ir
0.500 0.000 0.000 Ir
```

Computed properties:
As for the formation enthalpy at 0 K: 1.46 eV per atom. Its space group is Pm-3m.

***

Entry from Alexandria via LeMat-Bulk: crystalline KFe2TcAs at its relaxed geometry (PBEsol).

Cell and atoms, written as POSCAR:
```
KFe2TcAs
1.0
4.423 0.000 0.000
0.000 4.423 0.000
0.000 0.000 5.219
K Fe Tc As
1 2 1 1
direct
0.000 0.000 0.000 K
0.000 0.500 0.500 Fe
0.500 0.000 0.500 Fe
0.000 0.000 0.500 Tc
0.500 0.500 0.000 As
```

Computed properties:
As for the formation enthalpy at 0 K: 1.69 eV per atom. Its space group is P4/mmm.

***

Entry from Alexandria via LeMat-Bulk: crystalline SrHf2SbAs at its relaxed geometry (PBEsol).

Cell and atoms, written as POSCAR:
```
SrHf2SbAs
1.0
5.199 0.000 0.000
0.000 5.199 0.000
0.000 0.000 5.161
Sr Hf Sb As
1 2 1 1
direct
0.000 0.000 0.000 Sr
0.000 0.500 0.000 Hf
0.500 0.000 0.000 Hf
0.500 0.500 0.500 Sb
0.000 0.000 0.500 As
```

Computed properties:
Its space group is P4/mmm. As for the formation energy without anion corrections: 1.6765 eV/atom.

***

Entry from Alexandria via LeMat-Bulk: crystalline Zn2NiPtCl at its relaxed geometry (PBEsol).

Cell and atoms, written as POSCAR:
```
Zn2NiPtCl
1.0
4.641 0.000 0.000
0.000 4.641 0.000
0.000 0.000 3.995
Zn Ni Pt Cl
2 1 1 1
direct
0.000 0.500 0.000 Zn
0.500 0.000 0.000 Zn
0.000 0.000 0.000 Ni
0.500 0.500 0.500 Pt
0.000 0.000 0.500 Cl
```

Computed properties:
Its space group is P4/mmm. As for the formation energy without anion corrections: 0.5450 eV/atom.

***

Entry from Alexandria via LeMat-Bulk: crystalline AsPbAu at its relaxed geometry (PBEsol).

Cell and atoms, written as POSCAR:
```
AsPbAu
1.0
0.000 3.314 3.314
3.314 0.000 3.314
3.314 3.314 0.000
As Pb Au
1 1 1
direct
0.000 0.000 0.000 As
0.750 0.750 0.750 Pb
0.250 0.250 0.250 Au
```

Computed properties:
For the relative energy among the computed polymorphs, the calculation gives 222.4 meV per atom. As for the formation enthalpy at 0 K: 0.18 eV per atom. Its space group is F-43m.

***

Entry from Alexandria via LeMat-Bulk: crystalline Ca2TlBr at its relaxed geometry (PBEsol).

Cell and atoms, written as POSCAR:
```
Ca2TlBr
1.0
5.978 -1.815 0.000
5.978 1.815 0.000
-0.037 0.000 5.289
Ca Tl Br
2 1 1
direct
0.000 0.000 0.000 Ca
0.749 0.749 0.501 Ca
0.263 0.263 0.001 Tl
0.501 0.501 0.498 Br
```

Computed properties:
For the relative energy among the computed polymorphs, the calculation gives 132.3 meV per atom. Its space group is Cm. As for the formation energy without anion corrections: -0.8279 eV/atom.

***

| no. | total moment (μB/f.u.) | total energy (eV per atom) |
| --- | --- | --- |
| 1 | 0.380 | -5.641 |
| 2 | 3.009 | -4.292 |
| 3 | 0.000 | -3.541 |
| 4 | 0.795 | -8.586 |
| 5 | 7.553 | -5.625 |
| 6 | 0.000 | -4.599 |
| 7 | 3.129 | -5.817 |
| 8 | 0.000 | -8.354 |
| 9 | 2.542 | -4.847 |
| 10 | 3.354 | -1.207 |
| 11 | 8.404 | -9.105 |
| 12 | 0.000 | -2.699 |
| 13 | 0.000 | -8.124 |
| 14 | 0.000 | -2.539 |
| 15 | 0.002 | -6.286 |
| 16 | 3.401 | -5.398 |
| 17 | 0.000 | -4.826 |
| 18 | 0.000 | -3.114 |
| 19 | 0.000 | -4.166 |
| 20 | 0.011 | -3.019 |